The following is a PBE-GGA calculation of a geometry-optimized TmSn2Rh structure, from Alexandria.

Structure (POSCAR):
```
TmSn2Rh
1.0
4.3857 0.0000 0.0000
0.0000 4.3857 0.0000
0.0000 0.0000 4.3945
Tm Sn Rh
1 2 1
Cartesian
0.0000 0.0000 0.0000
0.0000 2.1928 2.1973
2.1928 0.0000 2.1973
2.1928 2.1928 0.0000
```

Its space group is No. 123. The formation energy from the elements comes out at -500 meV per atom. Its crystal system is tetragonal. As for the total energy: -21.8 eV per cell. The spin magnetization comes out at 0.0 Bohr magnetons per cell.



The following is a PBE-GGA calculation of a geometry-optimized Zn2Sn structure, from Alexandria.

Structure (POSCAR):
```
Zn2Sn
1.0
4.8287 0.0000 0.0000
0.0000 4.3342 0.0000
-1.5240 0.0000 5.7864
Zn Sn
4 2
Cartesian
-0.2812 1.0835 2.2097
1.1739 3.2506 2.3630
2.1309 1.0835 3.4234
3.5859 3.2506 3.5766
-0.2560 1.0835 5.4343
3.5607 3.2506 0.3520
```

Its space group is No. 11. The formation energy from the elements comes out at 85 meV per atom. Its crystal system is monoclinic. As for the total energy: -12.6 eV per cell. The spin magnetization comes out at 0.0 Bohr magnetons per cell.



The following is a PBE-GGA calculation of a geometry-optimized CrCuPd2 structure, from Alexandria.

Structure (POSCAR):
```
CrCuPd2
1.0
-3.4258 3.4258 2.6887
3.4258 -3.4258 2.6887
3.4258 3.4258 -2.6887
Cr Cu Pd
2 2 4
Cartesian
0.0000 0.0000 0.0000
0.0000 3.4258 1.3444
3.4258 0.0000 1.3444
0.0000 0.0000 2.6887
1.7129 -1.6869 2.0166
1.7389 1.7129 0.6722
1.7129 5.1127 -0.6722
1.6869 1.7129 3.3609
```

Its space group is No. 122. The formation energy from the elements comes out at 340 meV per atom. Its crystal system is tetragonal. As for the total energy: -45.5 eV per cell. The spin magnetization comes out at 7.0 Bohr magnetons per cell.